First-principles (PBE) data for a geometry-optimized Sm3Co8Cu structure, as listed in the Alexandria database.

Output
total magnetization: 9.155 μB/f.u.
crystal system: trigonal
final energy: -75.538 eV for the cell shown
SG: R3m
Fermi-level density of states: 17.66 states/eV/cell
formation energy from the elements: -0.4 eV/f.u.

POSCAR file:
```
Sm3Co8Cu
1.0
2.5179 1.4537 8.2378
-2.5179 1.4537 8.2378
0.0000 -2.9074 8.2378
Sm Co Cu
3 8 1
Direct
0.0000 0.0000 0.0000
0.1291 0.1291 0.1291
0.5135 0.5135 0.5135
0.0609 0.5663 0.5663
0.0680 0.0680 0.5731
0.0680 0.5731 0.0680
0.3159 0.3159 0.3159
0.5663 0.0609 0.5663
0.5663 0.5663 0.0609
0.5731 0.0680 0.0680
0.8174 0.8174 0.8174
0.6352 0.6352 0.6352
```


First-principles (PBE) data for a geometry-optimized HoAg5 structure, as listed in the Alexandria database.

Output
total magnetization: 0.000 μB/f.u.
crystal system: orthorhombic
final energy: -38.811 eV for the cell shown
SG: Cmmm
Fermi-level density of states: 5.40 states/eV/cell
formation energy from the elements: -0.6 eV/f.u.

POSCAR file:
```
HoAg5
1.0
4.4457 0.0000 0.0000
0.0000 12.8394 0.0000
0.0000 0.0000 4.1485
Ho Ag
2 10
Direct
0.0000 0.0000 0.0000
0.5000 0.5000 0.0000
0.0000 0.1732 0.5000
0.0000 0.3319 0.0000
0.0000 0.5000 0.5000
0.0000 0.6681 0.0000
0.0000 0.8268 0.5000
0.5000 0.0000 0.5000
0.5000 0.1681 0.0000
0.5000 0.3268 0.5000
0.5000 0.6732 0.5000
0.5000 0.8319 0.0000
```


First-principles (PBE) data for a geometry-optimized TlGaTe3As structure, as listed in the Alexandria database.

Output
total magnetization: 0.000 μB/f.u.
crystal system: monoclinic
final energy: -40.609 eV for the cell shown
SG: P2_1/m
Fermi-level density of states: 2.94 states/eV/cell
formation energy without anion corrections: -0.837 eV/f.u.

POSCAR file:
```
TlGaTe3As
1.0
9.1515 0.0000 0.0000
0.0000 4.2485 0.0000
-2.6010 0.0000 10.2033
Tl Ga Te As
2 2 6 2
Direct
0.1831 0.2500 0.2269
0.8169 0.7500 0.7731
0.0740 0.2500 0.6244
0.9260 0.7500 0.3756
0.1200 0.2500 0.8861
0.2163 0.7500 0.5408
0.4552 0.7500 0.1516
0.5448 0.2500 0.8484
0.7837 0.2500 0.4592
0.8800 0.7500 0.1139
0.3458 0.7500 0.8682
0.6542 0.2500 0.1318
```


First-principles (PBE) data for a geometry-optimized RbYTi structure, as listed in the Alexandria database.

Output
total magnetization: 0.000 μB/f.u.
crystal system: monoclinic
final energy: -58.024 eV for the cell shown
energy relative to the lowest polymorph listed for this composition: 0 meV/atom
SG: C2/m
Fermi-level density of states: 11.90 states/eV/cell
formation energy from the elements: 0.8 eV/f.u.

POSCAR file:
```
RbYTi
1.0
5.2137 0.0000 0.0000
0.0000 5.2138 0.0000
-0.0704 0.0000 16.2471
Rb Y Ti
4 4 4
Direct
0.2452 0.0000 0.1340
0.2548 0.5000 0.8660
0.7452 0.5000 0.1340
0.7548 0.0000 0.8660
0.2480 0.5000 0.3493
0.2520 0.0000 0.6507
0.7480 0.0000 0.3493
0.7520 0.5000 0.6507
0.2497 0.0000 0.4661
0.2503 0.5000 0.5339
0.7503 0.0000 0.5339
0.7497 0.5000 0.4661
```


First-principles (PBE) data for a geometry-optimized SrHgRh structure, as listed in the Alexandria database.

Output
total magnetization: 0.000 μB/f.u.
crystal system: orthorhombic
final energy: -41.234 eV for the cell shown
SG: Imma
Fermi-level density of states: 9.72 states/eV/cell
formation energy from the elements: -1.0 eV/f.u.

POSCAR file:
```
SrHgRh
1.0
5.9401 0.0000 0.0000
0.0000 6.1272 0.0000
0.0000 0.0000 7.5742
Sr Hg Rh
4 4 4
Direct
0.0000 0.2500 0.1042
0.0000 0.7500 0.8958
0.5000 0.2500 0.3958
0.5000 0.7500 0.6042
0.0000 0.0000 0.5000
0.0000 0.5000 0.5000
0.5000 0.0000 0.0000
0.5000 0.5000 0.0000
0.2500 0.2500 0.7500
0.2500 0.7500 0.2500
0.7500 0.2500 0.7500
0.7500 0.7500 0.2500
```


First-principles (PBE) data for a geometry-optimized ScNbCd2 structure, as listed in the Alexandria database.

Output
total magnetization: 0.000 μB/f.u.
crystal system: cubic
final energy: -71.221 eV for the cell shown
energy relative to the lowest polymorph listed for this composition: 0 meV/atom
SG: Fm-3m
Fermi-level density of states: 5.14 states/eV/cell
formation energy from the elements: 0.4 eV/f.u.

POSCAR file:
```
ScNbCd2
1.0
6.8937 0.0000 0.0000
0.0000 6.8937 0.0000
0.0000 0.0000 6.8937
Sc Nb Cd
4 4 8
Direct
0.0000 0.0000 0.0000
0.0000 0.5000 0.5000
0.5000 0.0000 0.5000
0.5000 0.5000 0.0000
0.0000 0.0000 0.5000
0.0000 0.5000 0.0000
0.5000 0.0000 0.0000
0.5000 0.5000 0.5000
0.2500 0.2500 0.2500
0.2500 0.2500 0.7500
0.2500 0.7500 0.2500
0.2500 0.7500 0.7500
0.7500 0.2500 0.2500
0.7500 0.2500 0.7500
0.7500 0.7500 0.2500
0.7500 0.7500 0.7500
```


> What is the formula in the fifth record?

SrHgRh


> Which of these has the highest final energy?

HoAg5